[1]
# Ni2AgSb

An optimized crystal structure of Ni2AgSb (PBE-GGA, Alexandria via LeMat-Bulk).

a = 4.930 Å, b = 4.930 Å, c = 4.392 Å
α = 74.22°, β = 74.22°, γ = 36.99°
Sites, in units of the cell vectors:
1 Ag 0.264 0.264 0.198
2 Sb 0.482 0.482 0.557
3 Ni 0.738 0.738 0.716
4 Ni 0.016 0.016 0.029

Output
- uncorrected formation energy (eV/atom) = 0.101
- theoretical density (g/cm3) = 9.36

[2]
# CsZrTe2I

An optimized crystal structure of CsZrTe2I (PBE-GGA, Alexandria via LeMat-Bulk).

a = 6.254 Å, b = 6.254 Å, c = 6.562 Å
α = 90.00°, β = 90.00°, γ = 90.00°
Last column: magnetic moment on the atom in μB.
Sites, in units of the cell vectors:
1 Te 0.500 0.000 0.000  -0.32
2 Te 0.000 0.500 0.000  -0.32
3 Cs 0.000 0.000 0.000  -0.06
4 Zr 0.500 0.500 0.500  1.61
5 I 0.000 0.000 0.500  -0.07

Output
- uncorrected formation energy (eV/atom) = 1.125
- ΔE to the lowest computed polymorph (eV per atom) = 2.035
- theoretical density (g/cm3) = 3.92

[3]
# RuPtAu

An optimized crystal structure of RuPtAu (PBE-GGA, Alexandria via LeMat-Bulk).

a = 4.919 Å, b = 4.919 Å, c = 4.919 Å
α = 146.73°, β = 132.27°, γ = 59.42°
Last column: magnetic moment on the atom in μB.
Sites, in units of the cell vectors:
1 Ru 0.672 0.672 0.000  1.31
2 Au 0.001 0.001 0.000  0.09
3 Pt 0.327 0.327 0.000  0.31

Output
- ΔE to the lowest computed polymorph (eV per atom) = 0.082
- calculated formation energy (eV/f.u.) = 0.784
- theoretical density (g/cm3) = 17.10